[1]
Compound: FeCuHgBi2
Source: Alexandria via LeMat-Bulk
Functional: GGA-PBE
Structure: optimized geometry

Values from the calculation:
Total magnetic moment: 0.34 μB per atom
N(E_F): 3.18 states/eV per cell
Crystal system: tetragonal

Cell lengths 5.0919, 4.7755, 5.0919 Å; angles 90.00, 90.00, 90.00 degrees
Closest atoms and distances in Å follow each position.
Sites, in units of the cell vectors:
1 Fe 0.0000 0.0000 0.0000  2 Cu 2.39, 4 Bi 2.55
2 Bi 0.5000 0.0000 0.0000  2 Fe 2.55
3 Cu 0.0000 0.5000 0.0000  2 Fe 2.39
4 Hg 0.5000 0.5000 0.5000  8 Bi 3.49, 4 Cu 3.60
5 Bi 0.0000 0.0000 0.5000  2 Fe 2.55


[2]
Compound: Fe2CuBiMo
Source: Alexandria via LeMat-Bulk
Functional: GGA-PBE
Structure: optimized geometry

Values from the calculation:
Total magnetic moment: 1.43 μB per atom
N(E_F): 6.69 states/eV per cell
Crystal system: tetragonal

Cell lengths 4.4346, 4.7092, 4.4346 Å; angles 90.00, 90.00, 90.00 degrees
Closest atoms and distances in Å follow each position.
Sites, in units of the cell vectors:
1 Bi 0.5000 0.5000 0.5000  4 Mo 3.14, 8 Fe 3.23
2 Cu 0.0000 0.0000 0.0000  4 Fe 2.22, 2 Mo 2.35
3 Fe 0.5000 0.0000 0.0000  2 Cu 2.22
4 Mo 0.0000 0.5000 0.0000  2 Cu 2.35
5 Fe 0.0000 0.0000 0.5000  2 Cu 2.22


Summary of energy relative to the elements in eV per atom
0.50; 1.12
(order as listed above)